No. 1
The following is a DFT calculation (PBE) of KTbCo after structural relaxation.

The space group is F-43m (No. 216) and the conventional cell measures 6.849, 6.849 and 6.849 Å, with angles of 90.00, 90.00 and 90.00 degrees. The inequivalent atoms are K at (0.000, 0.000, 0.000), Tb at (0.000, 0.000, 0.500) and Co at (0.250, 0.250, 0.250).

The value obtained for the calculated total energy is -40.76 eV per cell. For the offset from the most stable computed form, the calculation gives 0.000 eV/atom.

No. 2
The following is a DFT calculation (PBE) of KTbCoTe3 after structural relaxation.

The space group is C2/m (No. 12) and the conventional cell measures 17.499, 4.529 and 9.315 Å, with angles of 90.00, 101.76 and 90.00 degrees. The inequivalent atoms are K at (0.147, 0.000, 0.071), Tb at (0.172, 0.000, 0.586), Co at (0.001, 0.500, 0.659), Te at (0.000, 0.000, 0.500), Te at (0.000, 0.500, 0.000), Te at (0.145, 0.500, 0.791) and Te at (0.149, 0.500, 0.351).

The value obtained for the calculated total energy is -104.56 eV per cell. For the offset from the most stable computed form, the calculation gives 0.211 eV/atom.

No. 3
The following is a DFT calculation (PBE) of KTbCoTe3 after structural relaxation.

The space group is Pnma (No. 62) and the conventional cell measures 10.730, 4.368 and 16.043 Å, with angles of 90.00, 90.00 and 90.00 degrees. The inequivalent atoms are K at (0.051, 0.250, 0.171), Tb at (0.161, 0.750, 0.447), Co at (0.150, 0.250, 0.626), Te at (0.024, 0.750, 0.616), Te at (0.172, 0.750, 0.017) and Te at (0.217, 0.250, 0.776).

The value obtained for the calculated total energy is -107.51 eV per cell. For the offset from the most stable computed form, the calculation gives 0.088 eV/atom.

No. 4
The following is a DFT calculation (PBE) of KTbCoTe3 after structural relaxation.

The space group is Pnma (No. 62) and the conventional cell measures 11.532, 4.259 and 15.839 Å, with angles of 90.00, 90.00 and 90.00 degrees. The inequivalent atoms are K at (0.225, 0.250, 0.005), Tb at (0.019, 0.750, 0.257), Co at (0.238, 0.750, 0.783), Te at (0.052, 0.750, 0.874), Te at (0.087, 0.250, 0.386) and Te at (0.236, 0.250, 0.685).

The value obtained for the calculated total energy is -109.08 eV per cell. For the offset from the most stable computed form, the calculation gives 0.023 eV/atom.